No. 1
Computed, not measured: Cd2Hg2Pd after structural relaxation at the PBE level of DFT.

relative energy among the computed polymorphs = 0.0 meV/atom
formation enthalpy at 0 K = 0.36 eV per formula unit
spin magnetization = 0.00 μB/cell

Lattice parameters (Å, degrees): 7.250 7.250 4.307 90.00 90.00 90.00
Positions (direct):
Hg 0.837 0.337 0.500
Hg 0.163 0.663 0.500
Hg 0.663 0.837 0.500
Hg 0.337 0.163 0.500
Pd 0.500 0.500 0.000
Pd 0.000 0.000 0.000
Cd 0.146 0.354 0.000
Cd 0.354 0.854 0.000
Cd 0.854 0.646 0.000
Cd 0.646 0.146 0.000



No. 2
Computed, not measured: CdHg4Pd5 after structural relaxation at the PBE level of DFT.

formation enthalpy at 0 K = -2.04 eV per formula unit
spin magnetization = 0.00 μB/cell

Lattice parameters (Å, degrees): 3.234 3.234 17.178 90.00 90.00 90.00
Positions (direct):
Pd 0.500 0.500 0.903
Pd 0.500 0.500 0.299
Pd 0.500 0.500 0.500
Pd 0.500 0.500 0.701
Pd 0.500 0.500 0.097
Hg 0.000 0.000 0.198
Hg 0.000 0.000 0.399
Hg 0.000 0.000 0.601
Hg 0.000 0.000 0.802
Cd 0.000 0.000 0.000